First-principles (PBE) data for a relaxed structure of TcMo2, as listed in Alexandria.

```
TcMo2
1.0
-2.7405 3.4026 -4.6499
0.8770 -6.2772 -0.7328
-3.7672 -0.7237 1.6907
Tc Mo
3 6
Direct
0.0000 0.0000 0.5000 Tc
0.3333 0.6667 0.0000 Tc
0.6667 0.3333 0.0000 Tc
0.0000 0.2505 0.0000 Mo
0.0000 0.5706 0.5000 Mo
0.2505 0.0000 0.0000 Mo
0.7495 0.7495 0.0000 Mo
0.5706 0.0000 0.5000 Mo
0.4294 0.4294 0.5000 Mo
```

Results
Energy above the most stable polymorph in this dataset, meV per atom: 390
Calculated total energy, eV per atom: -10.24
Density of states at the Fermi level, states/eV/f.u.: 2.958
Density, g/cm3: 9.77
Space-group type: No. 189
Formation energy from the elements, meV/atom: 440
V, Å³ per cell: 148